Entry 1:
Density functional theory data (GGA-PBE) for a geometry-optimized ReRhPb2 structure.

Output
excess energy over the best structure of this formula in the dataset = 0 kJ/mol of formula units
DFT formation energy = 32.0 kJ/mol of atoms

The structure in POSCAR format:
```
ReRhPb2
1.0
3.033 0.000 0.000
0.000 3.033 0.000
0.000 0.000 9.609
Re Rh Pb
1 1 2
direct
0.000 0.000 0.546
0.500 0.500 0.705
0.000 0.000 0.939
0.500 0.500 0.310
```

Entry 2:
Density functional theory data (GGA-PBE) for a geometry-optimized ReRhPb2 structure.

Output
excess energy over the best structure of this formula in the dataset = 136 kJ/mol of formula units
DFT formation energy = 65.9 kJ/mol of atoms

The structure in POSCAR format:
```
ReRhPb2
1.0
0.973 -4.564 -1.004
-3.309 -2.746 -2.073
0.545 -1.382 -4.536
Pb Re Rh
2 1 1
direct
0.250 0.250 0.250
0.750 0.750 0.750
0.500 0.500 0.500
0.000 0.000 0.000
```

Entry 3:
Density functional theory data (GGA-PBE) for a geometry-optimized ReRhPb2 structure.

Output
excess energy over the best structure of this formula in the dataset = 239 kJ/mol of formula units
DFT formation energy = 91.7 kJ/mol of atoms

The structure in POSCAR format:
```
ReRhPb2
1.0
0.000 3.436 3.436
3.436 0.000 3.436
3.436 3.436 0.000
Re Rh Pb
1 1 2
direct
0.500 0.500 0.500
0.250 0.250 0.250
0.000 0.000 0.000
0.750 0.750 0.750
```

Entry 4:
Density functional theory data (GGA-PBE) for a geometry-optimized ReRh2Pb structure.

Output
DFT formation energy = 43.0 kJ/mol of atoms

The structure in POSCAR format:
```
ReRh2Pb
1.0
-4.685 0.343 -1.106
-1.022 -3.396 3.274
-0.324 2.028 2.003
Re Rh Pb
1 2 1
direct
0.000 0.000 0.500
0.500 0.000 0.000
0.000 0.500 0.000
0.500 0.500 0.500
```

Entry 5:
Density functional theory data (GGA-PBE) for a geometry-optimized ReRh2Pb structure.

Output
DFT formation energy = 49.3 kJ/mol of atoms

The structure in POSCAR format:
```
ReRh2Pb
1.0
-2.617 -1.044 -2.937
2.899 -2.224 -1.792
-1.126 -3.189 2.137
Re Rh Pb
1 2 1
direct
0.000 0.000 0.500
0.500 0.000 0.000
0.000 0.500 0.000
0.500 0.500 0.500
```

Entry 6:
Density functional theory data (GGA-PBE) for a geometry-optimized ReRh2Pb structure.

Output
DFT formation energy = 35.7 kJ/mol of atoms

The structure in POSCAR format:
```
ReRh2Pb
1.0
-2.033 2.033 3.955
2.033 -2.033 3.955
2.033 2.033 -3.955
Re Rh Pb
1 2 1
direct
0.000 0.000 0.000
0.750 0.250 0.500
0.250 0.750 0.500
0.500 0.500 0.000
```

Q: Among the records above, which one has the lowest DFT formation energy?
A: number 1

Q: Look up the DFT formation energy of the first one.
A: 32.0 kJ/mol of atoms